1.
Material: LaAl4Fe
Method: DFT, PBE
State: relaxed

```
data_LaAl4Fe
_chemical_formula_sum 'La4 Al16 Fe4'
_space_group_name_H-M_alt 'F -4 3 m'
_space_group_IT_number 216
_space_group_name_Hall 'F -4 2 3'
_cell_length_a 7.744
_cell_length_b 7.744
_cell_length_c 7.744
_cell_angle_alpha 90.00
_cell_angle_beta 90.00
_cell_angle_gamma 90.00
loop_
_atom_site_label
_atom_site_type_symbol
_atom_site_fract_x
_atom_site_fract_y
_atom_site_fract_z
La1 La 0.000 0.000 0.000
Al1 Al 0.125 0.125 0.625
Fe1 Fe 0.250 0.250 0.250
```

- Total moment: 0.490 μB per atom
- D(E_F): 2.74 states/eV/f.u.
- VASP energy: -4.73 eV per atom

2.
Material: LaAl2Fe
Method: DFT, PBE
State: relaxed

```
data_LaAl2Fe
_chemical_formula_sum 'La3 Al6 Fe3'
_space_group_name_H-M_alt 'R 3 m'
_space_group_IT_number 160
_space_group_name_Hall 'R 3 -2"'
_cell_length_a 4.3229
_cell_length_b 4.3229
_cell_length_c 15.4460
_cell_angle_alpha 90.00
_cell_angle_beta 90.00
_cell_angle_gamma 120.00
loop_
_atom_site_label
_atom_site_type_symbol
_atom_site_fract_x
_atom_site_fract_y
_atom_site_fract_z
La1 La 0.0000 0.0000 0.0000
Al1 Al 0.0000 0.0000 0.2009
Al2 Al 0.0000 0.0000 0.4814
Fe1 Fe 0.0000 0.0000 0.8301
```

- Total moment: 0.000 μB per atom
- D(E_F): 3.68 states/eV/f.u.
- VASP energy: -5.44 eV per atom

Among the records above, which one has the lowest total moment?
LaAl2Fe